The following is a GGA-PBE calculation of an optimized crystal structure of CrGa2H2, from Alexandria.

abc: 2.7520 2.7520 13.4039
angles: 90.00 90.00 90.00
Space group I4/mmm (No. 139)
Unique sites:
Cr 0.0000 0.0000 0.0000 x2
Ga 0.0000 0.0000 0.3672 x4
H 0.0000 0.5000 0.2500 x4

## Properties
E	-40.74	eV per cell
energy above the lowest structure with this stoichiometry	19.6	kJ/mol of atoms
M_tot	3.24	μB per cell